(1)
Computed, not measured: an optimized crystal structure of ScNb2Al2 at the PBE level of DFT.

```
5
Lattice="4.017 0.000 0.000 0.000 4.017 0.000 2.008 2.008 6.159" Properties=species:S:1:pos:R:3 pbc="T T T"
Sc 0.000 0.000 0.000
Nb 2.008 2.008 1.200
Nb 4.017 4.017 4.959
Al 4.017 2.008 3.080
Al 2.008 4.017 3.080
```

Calculated values
Formation enthalpy at 0 K, eV/atom: 0.197
Offset from the most stable computed form, kJ/mol of atoms: 45.2
SG: I4/mmm

(2)
Computed, not measured: an optimized crystal structure of TlAs2I2 at the PBE level of DFT.

```
10
Lattice="9.230 0.000 0.000 0.000 9.230 0.000 0.000 0.000 3.642" Properties=species:S:1:pos:R:3 pbc="T T T"
I 3.352 7.967 0.000
I 7.967 5.878 0.000
I 5.878 1.263 0.000
I 1.263 3.352 0.000
Tl 0.000 0.000 0.000
Tl 4.615 4.615 0.000
As 1.842 6.457 1.821
As 6.457 7.388 1.821
As 7.388 2.773 1.821
As 2.773 1.842 1.821
```

Calculated values
Formation energy from raw total energies, eV/atom: 0.441
Offset from the most stable computed form, kJ/mol of atoms: 32.2
SG: P4/mbm

(3)
Computed, not measured: an optimized crystal structure of CoPtN2 at the PBE level of DFT.

```
4
Lattice="1.021 -0.986 3.532 0.690 2.690 2.603 -2.419 0.514 2.894" Properties=species:S:1:pos:R:3 pbc="T T T"
Co 0.000 0.000 0.000
Pt -0.354 1.109 4.514
N -0.177 0.554 2.257
N -0.531 1.663 6.771
```

Calculated values
Formation energy from raw total energies, eV/atom: 1.398
Offset from the most stable computed form, kJ/mol of atoms: 97.4
SG: Fm-3m

(4)
Computed, not measured: an optimized crystal structure of ZrZnBr2 at the PBE level of DFT.

```
4
Lattice="2.001 0.000 11.406 -1.001 1.733 11.406 -1.001 -1.733 11.406" Properties=species:S:1:pos:R:3 pbc="T T T"
Zn 0.000 0.000 0.000
Br 0.000 0.000 30.445
Br 0.000 0.000 3.773
Zr 0.000 0.000 17.109
```

Calculated values
Formation energy from raw total energies, eV/atom: -0.661
Offset from the most stable computed form, kJ/mol of atoms: 0.5
SG: R-3m

(5)
Computed, not measured: an optimized crystal structure of YMn2ReW at the PBE level of DFT.

```
5
Lattice="-0.371 4.392 0.308 -4.844 -0.519 1.571 1.379 -0.177 4.194" Properties=species:S:1:pos:R:3 pbc="T T T"
Y -2.422 -0.259 0.785
Re 0.000 0.000 0.000
Mn 0.689 -0.089 2.097
Mn -0.185 2.196 0.154
W -1.918 1.848 3.036
```

Calculated values
Formation enthalpy at 0 K, eV/atom: 1.824
SG: P4/mmm

(6)
Computed, not measured: an optimized crystal structure of ZrCd2Rh2 at the PBE level of DFT.

```
10
Lattice="6.894 0.000 0.000 0.000 6.894 0.000 0.000 0.000 3.989" Properties=species:S:1:pos:R:3 pbc="T T T"
Rh 2.483 5.930 0.000
Rh 5.930 4.410 0.000
Rh 4.410 0.964 0.000
Rh 0.964 2.483 0.000
Zr 0.000 0.000 0.000
Zr 3.447 3.447 0.000
Cd 1.095 4.542 1.995
Cd 4.542 5.799 1.995
Cd 5.799 2.352 1.995
Cd 2.352 1.095 1.995
```

Calculated values
Formation enthalpy at 0 K, eV/atom: -0.268
Offset from the most stable computed form, kJ/mol of atoms: 0.0
SG: P4/mbm

(7)
Computed, not measured: an optimized crystal structure of TmAg2Sn2 at the PBE level of DFT.

```
10
Lattice="4.391 0.000 0.000 0.000 4.394 0.000 -2.195 0.000 11.618" Properties=species:S:1:pos:R:3 pbc="T T T"
Tm 0.000 1.099 8.278
Tm 2.195 3.296 3.340
Ag 0.000 3.296 0.968
Ag 0.000 3.296 10.656
Ag 2.195 1.099 10.650
Ag 2.195 1.099 0.963
Sn 2.195 1.099 5.801
Sn 0.000 3.296 5.818
Sn 2.195 3.296 8.739
Sn 0.000 1.099 2.879
```

Calculated values
Formation enthalpy at 0 K, eV/atom: -0.316
SG: Cmcm

(8)
Computed, not measured: an optimized crystal structure of AlHg3S at the PBE level of DFT.

```
5
Lattice="-2.437 2.472 4.018 -0.992 -4.690 2.283 4.612 0.297 2.614" Properties=species:S:1:pos:R:3 pbc="T T T"
S 0.000 0.000 0.000
Hg -0.496 -2.345 1.142
Hg 2.306 0.149 1.307
Hg -1.218 1.236 2.009
Al 0.592 -0.960 4.458
```

Calculated values
Formation energy from raw total energies, eV/atom: 0.534
Offset from the most stable computed form, kJ/mol of atoms: 13.6
SG: Pm-3m

(9)
Computed, not measured: an optimized crystal structure of Cs4AgSn3Br12 at the PBE level of DFT.

```
20
Lattice="9.985 0.000 0.000 -3.328 9.414 0.000 -3.328 -4.707 8.152" Properties=species:S:1:pos:R:3 pbc="T T T"
Cs 1.664 2.353 4.076
Cs -1.664 -2.353 4.076
Cs 4.992 0.000 0.000
Cs -1.664 4.707 0.000
Ag 0.000 0.000 0.000
Sn 3.328 -2.353 4.076
Sn 3.328 4.707 0.000
Sn -3.328 2.353 4.076
Br -1.664 1.177 6.114
Br 4.995 -3.532 6.118
Br 1.661 -1.175 2.034
Br 4.992 3.530 2.038
Br 4.995 7.065 0.000
Br 1.661 2.349 0.000
Br 4.992 0.000 4.076
Br -1.664 4.707 4.076
Br 1.664 -1.177 6.114
Br -4.995 3.532 6.118
Br 1.664 5.884 2.038
Br -1.661 1.175 2.034
```

Calculated values
Formation energy from raw total energies, eV/atom: -1.153
SG: Im-3m

(10)
Computed, not measured: an optimized crystal structure of SbSe4 at the PBE level of DFT.

```
5
Lattice="5.200 -1.991 0.965 -3.749 -4.198 0.509 -0.260 2.135 -5.226" Properties=species:S:1:pos:R:3 pbc="T T T"
Sb 0.000 0.000 0.000
Se 2.600 -0.996 0.482
Se 0.596 -2.027 -1.876
Se -1.874 -2.099 0.254
Se -0.130 1.067 -2.613
```

Calculated values
Formation energy from raw total energies, eV/atom: 0.457
Offset from the most stable computed form, kJ/mol of atoms: 23.8
SG: Im-3m

(11)
Computed, not measured: an optimized crystal structure of CeErGaCo at the PBE level of DFT.

```
4
Lattice="-2.984 -2.258 -3.210 -3.827 -2.645 1.632 -4.599 1.646 -0.669" Properties=species:S:1:pos:R:3 pbc="T T T"
Co -5.705 -1.628 -1.123
Ga 0.000 0.000 0.000
Ce -8.557 -2.442 -1.685
Er -2.852 -0.814 -0.562
```

Calculated values
Formation enthalpy at 0 K, eV/atom: -0.269
SG: F-43m

(12)
Computed, not measured: an optimized crystal structure of KCrSe2 at the PBE level of DFT.

```
8
Lattice="-7.585 6.194 4.400 5.978 -5.181 -7.258 -3.685 -4.780 0.377" Properties=species:S:1:pos:R:3 pbc="T T T"
Cr 0.689 -2.713 -3.409
Cr -5.980 -1.054 0.929
K 4.196 -5.655 -6.424
K -9.488 1.887 3.944
Se 2.219 -3.996 -4.724
Se -7.511 0.229 2.244
Se -7.240 3.938 3.406
Se 1.948 -7.705 -5.887
```

Calculated values
Formation energy from raw total energies, eV/atom: -0.319
SG: Cmcm

no.,E (eV/atom)
1,-6.59
2,-2.51
3,-6.05
4,-3.95
5,-8.22
6,-5.28
7,-3.95
8,-1.22
9,-3.07
10,-3.15
11,-5.43
12,-4.74